# NaNiBiF6

A relaxed NaNiBiF6 crystal (PBE+U, the Alexandria database).

Geometry as POSCAR:
```
NaNiBiF6
1.0
5.1234 0.0000 0.0000
0.0000 5.1234 0.0000
0.0000 0.0000 10.2390
Na Ni Bi F
2 2 2 12
Direct
0.0000 0.0000 0.0000
0.5000 0.5000 0.5000
0.0000 0.0000 0.3325
0.5000 0.5000 0.8325
0.0000 0.0000 0.6678
0.5000 0.5000 0.1678
0.1845 0.1845 0.4846
0.1862 0.1862 0.1829
0.2180 0.2180 0.8289
0.2820 0.7180 0.3289
0.3138 0.6862 0.6829
0.3155 0.6845 0.9846
0.6845 0.3155 0.9846
0.6862 0.3138 0.6829
0.7180 0.2820 0.3289
0.7820 0.7820 0.8289
0.8138 0.8138 0.1829
0.8155 0.8155 0.4846
```

## Properties
raw total energy = -4.541 eV/atom